(1)
First-principles (PBE-GGA) data for crystalline CsNaAl2F8 at its relaxed geometry, as listed in Alexandria.

Computed properties:
As for the symmetry: R-3, No. 148. The total energy is -5.345 eV per atom. The value obtained for the density of states at the Fermi level is 0.0 states/eV/f.u. Its crystal system is trigonal. The calculation puts the uncorrected formation energy at -3293 meV per atom.

Structure (POSCAR):
```
CsNaAl2F8
1.0
5.573 0.000 0.000
2.786 4.826 0.000
2.786 1.609 8.022
Cs Na Al F
1 1 2 8
direct
0.500 0.500 0.500
0.000 0.000 0.000
0.260 0.260 0.221
0.740 0.740 0.779
0.189 0.189 0.434
0.579 0.264 0.162
0.811 0.811 0.566
0.995 0.579 0.162
0.005 0.421 0.838
0.264 0.995 0.162
0.736 0.005 0.838
0.421 0.736 0.838
```

---

(2)
First-principles (PBE-GGA) data for crystalline CsNb2AlF at its relaxed geometry, as listed in Alexandria.

Computed properties:
As for the symmetry: P4/mmm, No. 123. The total energy is -4.433 eV per atom. The value obtained for the density of states at the Fermi level is 5.7 states/eV/f.u. Its crystal system is tetragonal. The calculation puts the uncorrected formation energy at 889 meV per atom.

Structure (POSCAR):
```
CsNb2AlF
1.0
-2.436 2.219 -3.581
-6.476 -1.846 3.262
0.084 4.161 2.522
Cs Nb Al F
1 2 1 1
direct
0.500 0.500 0.500
0.000 0.000 0.500
0.500 0.000 0.000
0.000 0.000 0.000
0.000 0.500 0.000
```